The following is a PBE calculation of an optimized crystal structure of TlSnPO2, from Alexandria.

Cell and atoms, written as POSCAR:
```
TlSnPO2
1.0
4.035 0.000 0.000
0.000 4.035 0.000
0.000 0.000 5.502
P Tl Sn O
1 1 1 2
Direct
0.000 0.000 0.500 P
0.500 0.500 0.500 Tl
0.000 0.000 0.000 Sn
0.000 0.500 0.000 O
0.500 0.000 0.000 O
```

Summary:
N(E_F) (states/eV per atom): 0.655
Space group: P4/mmm, No. 123
Uncorrected formation energy (kJ per mole of atoms): -41
ΔE to the lowest computed polymorph (meV per atom): 0.0
Calculated volume (Å³/f.u.): 89.6